(1)
DFT (GGA-PBE) results for a relaxed structure of BeFe2Rh.

Results
energy of formation from the pure elements	-0.05	eV/atom
V	11.27	A^3/atom
size of the total moment	4.68	μB per formula unit

Lattice parameters (Å, degrees): 2.607 2.607 6.632 90.00 90.00 90.00
Last column: magnetic moment on the atom in μB.
Fractional coordinates of all 4 atoms:
Be1 0.500 0.500 0.750  -0.09
Rh1 0.500 0.500 0.250  0.30
Fe1 0.000 0.000 0.966  2.27
Fe2 0.000 0.000 0.534  2.27

(2)
DFT (GGA-PBE) results for a relaxed structure of BeFeRh2.

Results
energy of formation from the pure elements	0.45	eV/atom
V	13.38	A^3/atom
size of the total moment	0.00	μB per formula unit

Lattice parameters (Å, degrees): 3.693 3.693 8.272 77.10 77.10 90.00
Fractional coordinates of all 8 atoms:
Be1 0.500 0.500 0.000
Be2 0.250 0.750 0.500
Rh1 0.617 0.125 0.250
Rh2 0.133 0.625 0.250
Rh3 0.375 0.383 0.750
Rh4 0.875 0.867 0.750
Fe1 0.000 0.000 0.000
Fe2 0.750 0.250 0.500

What did the first record say?
DFT (GGA-PBE) results for a relaxed structure of BeFe2Rh.

Results
energy of formation from the pure elements	-0.05	eV/atom
V	11.27	A^3/atom
size of the total moment	4.68	μB per formula unit

Lattice parameters (Å, degrees): 2.607 2.607 6.632 90.00 90.00 90.00
Last column: magnetic moment on the atom in μB.
Fractional coordinates of all 4 atoms:
Be1 0.500 0.500 0.750  -0.09
Rh1 0.500 0.500 0.250  0.30
Fe1 0.000 0.000 0.966  2.27
Fe2 0.000 0.000 0.534  2.27